Record 1
# RbLaNi2P PBE relaxed
# DOS at the Fermi energy = 5.66 states/eV/f.u.
# ΔH_f (0 K) = 0.338 eV/atom
# SG = No. 123
data_RbLaNi2P
_cell_length_a 4.366
_cell_length_b 5.648
_cell_length_c 4.366
_cell_angle_alpha 90.00
_cell_angle_beta 90.00
_cell_angle_gamma 90.00
_space_group_name_H-M_alt 'P 1'
_space_group_IT_number 1
_space_group_name_Hall 'P 1'
loop_
_atom_site_label
_atom_site_fract_x
_atom_site_fract_y
_atom_site_fract_z
_atom_site_occupancy
Ni1 0.000 0.000 0.500 1
Ni2 0.500 0.000 0.000 1
P1 0.000 0.000 0.000 1
Rb1 0.000 0.500 0.000 1
La1 0.500 0.500 0.500 1


Record 2
# BaCaNd2Te4 PBE relaxed
# DOS at the Fermi energy = 3.98 states/eV/f.u.
# E = -4.78 eV per atom
# SG = No. 10
data_BaCaNd2Te4
_cell_length_a 4.573
_cell_length_b 8.142
_cell_length_c 7.936
_cell_angle_alpha 71.08
_cell_angle_beta 90.00
_cell_angle_gamma 90.00
_space_group_name_H-M_alt 'P 1'
_space_group_IT_number 1
_space_group_name_Hall 'P 1'
loop_
_atom_site_label
_atom_site_fract_x
_atom_site_fract_y
_atom_site_fract_z
_atom_site_occupancy
Ba1 0.500 0.500 0.000 1
Ca1 0.000 0.500 0.500 1
Nd1 0.000 0.000 0.000 1
Nd2 0.500 0.000 0.500 1
Te1 0.000 0.765 0.734 1
Te2 0.000 0.235 0.266 1
Te3 0.500 0.756 0.259 1
Te4 0.500 0.244 0.741 1


Record 3
# Th5HgSe4 PBE relaxed
# DOS at the Fermi energy = 8.12 states/eV/f.u.
# E = -6.39 eV per atom
# SG = No. 87
data_Th5HgSe4
_cell_length_a 5.996
_cell_length_b 7.395
_cell_length_c 7.395
_cell_angle_alpha 80.54
_cell_angle_beta 66.08
_cell_angle_gamma 66.08
_space_group_name_H-M_alt 'P 1'
_space_group_IT_number 1
_space_group_name_Hall 'P 1'
loop_
_atom_site_label
_atom_site_fract_x
_atom_site_fract_y
_atom_site_fract_z
_atom_site_occupancy
Th1 0.901 0.411 0.790 1
Th2 0.312 0.790 0.589 1
Th3 0.691 0.210 0.411 1
Th4 0.102 0.589 0.210 1
Th5 0.501 0.000 0.000 1
Hg1 0.001 0.000 0.000 1
Se1 0.394 0.402 0.812 1
Se2 0.797 0.812 0.598 1
Se3 0.206 0.188 0.402 1
Se4 0.608 0.598 0.188 1


Record 4
# Cs2BeTeS PBE relaxed
# DOS at the Fermi energy = 0.00 states/eV/f.u.
# E = -3.46 eV per atom
# SG = No. 11
data_Cs2BeTeS
_cell_length_a 4.278
_cell_length_b 8.181
_cell_length_c 11.781
_cell_angle_alpha 110.30
_cell_angle_beta 90.00
_cell_angle_gamma 90.00
_space_group_name_H-M_alt 'P 1'
_space_group_IT_number 1
_space_group_name_Hall 'P 1'
loop_
_atom_site_label
_atom_site_fract_x
_atom_site_fract_y
_atom_site_fract_z
_atom_site_occupancy
Cs1 0.750 0.809 0.603 1
Cs2 0.750 0.777 0.042 1
Cs3 0.250 0.191 0.397 1
Cs4 0.250 0.223 0.958 1
Be1 0.250 0.527 0.751 1
Be2 0.750 0.473 0.249 1
Te1 0.250 0.647 0.294 1
Te2 0.750 0.353 0.706 1
S1 0.250 0.778 0.817 1
S2 0.750 0.222 0.183 1


Question: Number 4 is which compound?
Answer: Cs2BeTeS